Compound: CdHgCl2
Source: Alexandria
Functional: PBE-GGA
Structure: relaxed

Lattice parameters (Å, degrees): 3.744 6.000 5.686 67.21 90.00 90.00
Fractional coordinates of all 4 atoms:
Cl: 0.000 0.948 0.899
Cl: 0.500 0.340 0.257
Hg: 0.000 0.525 0.525
Cd: 0.500 0.687 0.819

## Properties
- formation energy without anion corrections (eV/atom) = -0.6749
- excess energy over the best structure of this formula in the dataset (kJ/mol of formula units) = 46



Compound: CdHgCl2
Source: Alexandria
Functional: PBE-GGA
Structure: relaxed

Lattice parameters (Å, degrees): 10.465 10.465 10.465 28.17 28.17 28.17
Fractional coordinates of all 4 atoms:
Cl: 0.924 0.924 0.924
Cl: 0.076 0.076 0.076
Hg: 0.500 0.500 0.500
Cd: 0.000 0.000 0.000

## Properties
- formation energy without anion corrections (eV/atom) = -0.4672
- excess energy over the best structure of this formula in the dataset (kJ/mol of formula units) = 126



Compound: CdHg2Cl
Source: Alexandria
Functional: PBE-GGA
Structure: relaxed

Lattice parameters (Å, degrees): 3.670 3.670 8.804 90.00 90.00 111.13
Fractional coordinates of all 4 atoms:
Cl: 0.500 0.500 0.700
Hg: 0.000 0.000 0.016
Hg: 0.500 0.500 0.275
Cd: 0.000 0.000 0.509

## Properties
- formation energy without anion corrections (eV/atom) = -0.2421
- excess energy over the best structure of this formula in the dataset (kJ/mol of formula units) = 22



Compound: CdHgCl2
Source: Alexandria
Functional: PBE-GGA
Structure: relaxed

Lattice parameters (Å, degrees): 5.307 5.307 5.086 66.80 66.80 99.34
Fractional coordinates of all 4 atoms:
Cl: 0.000 0.000 0.000
Cl: 0.500 0.500 0.000
Hg: 0.500 0.000 0.500
Cd: 0.000 0.500 0.500

## Properties
- formation energy without anion corrections (eV/atom) = -0.3255
- excess energy over the best structure of this formula in the dataset (kJ/mol of formula units) = 181



Compound: CdHg2Cl
Source: Alexandria
Functional: PBE-GGA
Structure: relaxed

Lattice parameters (Å, degrees): 3.698 3.698 8.183 90.00 90.00 109.19
Fractional coordinates of all 4 atoms:
Cl: 0.500 0.500 0.750
Hg: 0.000 0.000 0.002
Hg: 0.000 0.000 0.498
Cd: 0.500 0.500 0.250

## Properties
- formation energy without anion corrections (eV/atom) = -0.1854
- excess energy over the best structure of this formula in the dataset (kJ/mol of formula units) = 44



Compound: CdHg2Cl
Source: Alexandria
Functional: PBE-GGA
Structure: relaxed

Lattice parameters (Å, degrees): 5.295 5.295 5.295 60.00 60.00 60.00
Fractional coordinates of all 4 atoms:
Cl: 0.000 0.000 0.000
Hg: 0.250 0.250 0.250
Hg: 0.750 0.750 0.750
Cd: 0.500 0.500 0.500

## Properties
- formation energy without anion corrections (eV/atom) = -0.1042
- excess energy over the best structure of this formula in the dataset (kJ/mol of formula units) = 75



Compound: Cd5Hg3Cl12
Source: Alexandria
Functional: PBE-GGA
Structure: relaxed

Lattice parameters (Å, degrees): 14.554 14.554 14.554 109.47 109.47 109.47
Site moments in Bohr magnetons follow the coordinates.
Fractional coordinates of all 80 atoms:
Hg: 0.750 0.375 0.125  0.28
Hg: 0.875 0.750 0.125  0.28
Hg: 0.375 0.750 0.625  0.28
Hg: 0.250 0.125 0.375  0.28
Hg: 0.875 0.125 0.250  0.28
Hg: 0.375 0.625 0.250  0.28
Hg: 0.625 0.375 0.750  0.28
Hg: 0.125 0.875 0.750  0.28
Hg: 0.750 0.875 0.625  0.28
Hg: 0.625 0.250 0.375  0.28
Hg: 0.125 0.250 0.875  0.28
Hg: 0.250 0.625 0.875  0.28
Cd: 0.125 0.375 0.250  0.00
Cd: 0.000 0.500 0.000  0.00
Cd: 0.000 0.000 0.000  0.00
Cd: 0.375 0.250 0.125  0.00
Cd: 0.500 0.000 0.500  0.00
Cd: 0.500 0.500 0.000  0.00
Cd: 0.125 0.750 0.375  0.00
Cd: 0.750 0.125 0.875  0.00
Cd: 0.750 0.625 0.375  0.00
Cd: 0.375 0.125 0.750  0.00
Cd: 0.625 0.875 0.250  0.00
Cd: 0.500 0.500 0.500  0.00
Cd: 0.500 0.000 0.000  0.00
Cd: 0.000 0.000 0.500  0.00
Cd: 0.250 0.375 0.625  0.00
Cd: 0.250 0.875 0.125  0.00
Cd: 0.000 0.500 0.500  0.00
Cd: 0.875 0.250 0.625  0.00
Cd: 0.625 0.750 0.875  0.00
Cd: 0.875 0.625 0.750  0.00
Cl: 0.701 0.114 0.023  0.04
Cl: 0.321 0.523 0.409  0.04
Cl: 0.977 0.386 0.299  0.04
Cl: 0.523 0.201 0.114  0.04
Cl: 0.587 0.701 0.679  0.04
Cl: 0.977 0.591 0.179  0.04
Cl: 0.321 0.799 0.413  0.04
Cl: 0.091 0.913 0.114  0.04
Cl: 0.591 0.977 0.679  0.04
Cl: 0.701 0.587 0.179  0.04
Cl: 0.799 0.477 0.386  0.04
Cl: 0.821 0.909 0.023  0.04
Cl: 0.114 0.701 0.523  0.04
Cl: 0.386 0.409 0.087  0.04
Cl: 0.087 0.909 0.386  0.04
Cl: 0.413 0.114 0.591  0.04
Cl: 0.087 0.179 0.201  0.04
Cl: 0.477 0.679 0.091  0.04
Cl: 0.821 0.913 0.299  0.04
Cl: 0.114 0.413 0.091  0.04
Cl: 0.386 0.977 0.799  0.04
Cl: 0.591 0.614 0.413  0.04
Cl: 0.909 0.821 0.523  0.04
Cl: 0.799 0.321 0.913  0.04
Cl: 0.409 0.386 0.587  0.04
Cl: 0.091 0.179 0.477  0.04
Cl: 0.201 0.679 0.087  0.04
Cl: 0.179 0.087 0.701  0.04
Cl: 0.614 0.023 0.201  0.04
Cl: 0.886 0.587 0.909  0.04
Cl: 0.523 0.321 0.909  0.04
Cl: 0.587 0.886 0.409  0.04
Cl: 0.913 0.821 0.799  0.04
Cl: 0.913 0.091 0.614  0.04
Cl: 0.886 0.299 0.477  0.04
Cl: 0.179 0.091 0.977  0.04
Cl: 0.614 0.591 0.913  0.04
Cl: 0.409 0.023 0.321  0.04
Cl: 0.299 0.413 0.821  0.04
Cl: 0.201 0.523 0.614  0.04
Cl: 0.909 0.087 0.886  0.04
Cl: 0.679 0.201 0.587  0.04
Cl: 0.477 0.799 0.886  0.04
Cl: 0.023 0.409 0.821  0.04
Cl: 0.413 0.299 0.321  0.04
Cl: 0.023 0.614 0.701  0.04
Cl: 0.679 0.477 0.591  0.04
Cl: 0.299 0.886 0.977  0.04

## Properties
- formation energy without anion corrections (eV/atom) = -0.7665



Compound: Cd2HgCl
Source: Alexandria
Functional: PBE-GGA
Structure: relaxed

Lattice parameters (Å, degrees): 3.521 3.521 8.474 90.00 90.00 102.62
Fractional coordinates of all 4 atoms:
Cl: 0.000 0.000 0.453
Hg: 0.500 0.500 0.770
Cd: 0.000 0.000 0.020
Cd: 0.500 0.500 0.258

## Properties
- formation energy without anion corrections (eV/atom) = -0.2399
- excess energy over the best structure of this formula in the dataset (kJ/mol of formula units) = 17



Question: Which value of formation energy without anion corrections does entry 1 give?
Answer: -0.6749 eV/atom